[1]
This record from Alexandria via LeMat-Bulk describes a relaxed Ta2PtSe crystal. The functional is PBE.

For the total moment, the calculation gives 0.000 μB/f.u. For the uncorrected formation energy, the calculation gives -0.03 eV per atom. As for the density of states at the Fermi level: 2.550 states/eV per cell.

The structure belongs to space group Pmmm (No. 47); the cell edges are 3.544, 4.106 and 4.784 Å and the angles 90.00°, 90.00° and 90.00°. The asymmetric unit holds Ta at (0.000, 0.000, 0.000), Ta at (0.500, 0.000, 0.500), Pt at (0.000, 0.500, 0.500) and Se at (0.500, 0.500, 0.000).

[2]
This record from Alexandria via LeMat-Bulk describes a relaxed Ta2PtSe crystal. The functional is PBE.

For the total moment, the calculation gives 0.000 μB/f.u. For the uncorrected formation energy, the calculation gives -0.30 eV per atom. As for the density of states at the Fermi level: 6.705 states/eV per cell.

The structure belongs to space group Cm (No. 8); the cell edges are 9.511, 3.110 and 4.783 Å and the angles 90.00°, 102.68° and 90.00°. The asymmetric unit holds Ta at (0.000, 0.000, 0.000), Ta at (0.221, 0.000, 0.604), Pt at (0.239, 0.500, 0.122) and Se at (0.492, 0.000, 0.505).

[3]
This record from Alexandria via LeMat-Bulk describes a relaxed Ta2PtSe crystal. The functional is PBE.

For the total moment, the calculation gives 0.000 μB/f.u. For the uncorrected formation energy, the calculation gives 0.31 eV per atom. As for the density of states at the Fermi level: 6.086 states/eV per cell.

The structure belongs to space group F-43m (No. 216); the cell edges are 6.570, 6.570 and 6.570 Å and the angles 90.00°, 90.00° and 90.00°. The asymmetric unit holds Ta at (0.000, 0.000, 0.000), Ta at (0.250, 0.250, 0.250), Pt at (0.000, 0.000, 0.500) and Se at (0.250, 0.250, 0.750).